1.
MnSbTe2N (PBEsol, relaxed); DOS(E_F) = 3.9 states/eV/cell; total energy = -23.256 eV/f.u.
1.0
-3.603 0.327 -3.606
-2.264 -4.173 1.883
-2.757 2.856 3.014
Sb Te Mn N
1 2 1 1
Direct
0.000 0.000 0.500
0.000 0.500 0.000
0.500 0.000 0.000
0.000 0.000 0.000
0.500 0.500 0.500

=====

2.
Sc3MnN (PBEsol, relaxed); DOS(E_F) = 6.8 states/eV/cell; total energy = -41.482 eV/f.u.
1.0
4.370 0.000 0.000
0.000 4.370 0.000
0.000 0.000 4.370
Sc Mn N
3 1 1
Direct
0.000 0.500 0.000
0.000 0.000 0.500
0.500 0.000 0.000
0.500 0.500 0.500
0.000 0.000 0.000

=====

3.
ScMnSeN2 (PBEsol, relaxed); DOS(E_F) = 2.6 states/eV/cell; total energy = -38.286 eV/f.u.
1.0
-1.429 -2.143 -2.601
3.361 -0.707 -1.264
0.315 -3.826 2.979
N Se Sc Mn
2 1 1 1
Direct
0.500 0.000 0.000
0.000 0.500 0.000
0.000 0.000 0.500
0.500 0.500 0.500
0.000 0.000 0.000

=====

4.
MnTlSeN2 (PBEsol, relaxed); DOS(E_F) = 2.9 states/eV/cell; total energy = -30.637 eV/f.u.
1.0
-3.368 -0.184 1.604
1.589 -1.027 3.220
0.390 4.945 1.385
Se N Tl Mn
1 2 1 1
Direct
0.000 0.000 0.500
0.500 0.000 0.000
0.000 0.500 0.000
0.500 0.500 0.500
0.000 0.000 0.000

=====

5.
MnWSeN2 (PBEsol, relaxed); DOS(E_F) = 2.5 states/eV/cell; total energy = -42.870 eV/f.u.
1.0
3.865 0.000 0.000
0.000 3.865 0.000
0.000 0.000 5.201
Mn N W Se
1 2 1 1
Direct
0.500 0.500 0.500
0.000 0.500 0.000
0.500 0.000 0.000
0.000 0.000 0.000
0.000 0.000 0.500

=====

6.
Mn3SnN (PBEsol, relaxed); DOS(E_F) = 3.9 states/eV/cell; total energy = -43.252 eV/f.u.
1.0
3.818 0.000 0.000
0.000 3.818 0.000
0.000 0.000 3.818
Mn Sn N
3 1 1
Direct
0.500 0.000 0.000
0.000 0.500 0.000
0.000 0.000 0.500
0.500 0.500 0.500
0.000 0.000 0.000